! RbRe3I, relaxed, DFT PBE-GGA; values from VASP
&SYSTEM
  ibrav = 0, nat = 5, ntyp = 3
/
ATOMIC_SPECIES
Rb 85.47 Rb.upf
Re 186.21 Re.upf
I 126.90 I.upf
ATOMIC_POSITIONS angstrom
Rb 0.000 0.000 0.000
Re 0.000 0.000 2.430
Re 0.000 2.430 0.000
Re 2.430 0.000 0.000
I 2.430 2.430 2.430
CELL_PARAMETERS angstrom
4.861 0.000 0.000
0.000 4.861 0.000
0.000 0.000 4.861
! formation energy without anion corrections: 4.340 eV per atom
! uncorrected energy: -18.2 eV per cell
! crystal system: cubic
! total magnetic moment: 2.6 Bohr magnetons per cell



! RbReI2, relaxed, DFT PBE-GGA; values from VASP
&SYSTEM
  ibrav = 0, nat = 8, ntyp = 3
/
ATOMIC_SPECIES
Rb 85.47 Rb.upf
Re 186.21 Re.upf
I 126.90 I.upf
ATOMIC_POSITIONS angstrom
Rb 0.000 0.000 0.000
Rb 0.000 4.307 1.933
Re 4.307 0.000 1.933
Re 0.000 0.000 3.867
I 2.153 -1.132 2.900
I 3.175 2.153 0.967
I 2.153 5.439 -0.967
I 1.132 2.153 4.833
CELL_PARAMETERS angstrom
-4.307 4.307 3.867
4.307 -4.307 3.867
4.307 4.307 -3.867
! formation energy without anion corrections: 0.354 eV per atom
! uncorrected energy: -30.2 eV per cell
! crystal system: tetragonal
! total magnetic moment: 0.0 Bohr magnetons per cell